# LaDy2Sn PBE relaxed
# raw total energy: -19.39 eV per cell
# ρ: 8.1 g/cm³
data_LaDy2Sn
_space_group_name_H-M_alt 'P 4/m m m'
_space_group_IT_number 123
_space_group_name_Hall '-P 4 2'
_cell_length_a 4.0577
_cell_length_b 4.0577
_cell_length_c 7.2858
_cell_angle_alpha 90.00
_cell_angle_beta 90.00
_cell_angle_gamma 90.00
loop_
_atom_site_label
_atom_site_type_symbol
_atom_site_fract_x
_atom_site_fract_y
_atom_site_fract_z
La1 La 0.0000 0.0000 0.0000
Dy1 Dy 0.5000 0.5000 0.2877
Sn1 Sn 0.0000 0.0000 0.5000



# La3DySn12 PBE relaxed
# raw total energy: -76.11 eV per cell
# ρ: 7.6 g/cm³
data_La3DySn12
_space_group_name_H-M_alt 'P 4/m m m'
_space_group_IT_number 123
_space_group_name_Hall '-P 4 2'
_cell_length_a 4.7894
_cell_length_b 4.7894
_cell_length_c 19.0601
_cell_angle_alpha 90.00
_cell_angle_beta 90.00
_cell_angle_gamma 90.00
loop_
_atom_site_label
_atom_site_type_symbol
_atom_site_fract_x
_atom_site_fract_y
_atom_site_fract_z
La1 La 0.0000 0.0000 0.0000
La2 La 0.0000 0.0000 0.2529
Dy1 Dy 0.0000 0.0000 0.5000
Sn1 Sn 0.0000 0.5000 0.1268
Sn2 Sn 0.0000 0.5000 0.3801
Sn3 Sn 0.5000 0.5000 0.0000
Sn4 Sn 0.5000 0.5000 0.2536
Sn5 Sn 0.5000 0.5000 0.5000



# La14DySn PBE relaxed
# raw total energy: -158.37 eV per cell
# ρ: 6.6 g/cm³
data_La14DySn
_space_group_name_H-M_alt 'A m m 2'
_space_group_IT_number 38
_space_group_name_Hall 'A 2 -2'
_cell_length_a 10.4097
_cell_length_b 10.3557
_cell_length_c 10.3565
_cell_angle_alpha 90.00
_cell_angle_beta 90.00
_cell_angle_gamma 90.00
loop_
_atom_site_label
_atom_site_type_symbol
_atom_site_fract_x
_atom_site_fract_y
_atom_site_fract_z
La1 La 0.0000 0.0000 0.0000
La2 La 0.0000 0.0000 0.4984
La3 La 0.0000 0.2500 0.2497
La4 La 0.2571 0.0000 0.7570
La5 La 0.2574 0.2426 0.9996
La6 La 0.2577 0.0000 0.2420
La7 La 0.5000 0.2502 0.2497
Dy1 Dy 0.5000 0.0000 0.4997
Sn1 Sn 0.5000 0.0000 0.9994



# LaDyZnSn PBE relaxed
# raw total energy: -67.56 eV per cell
# ρ: 7.5 g/cm³
data_LaDyZnSn
_space_group_name_H-M_alt 'F -4 3 m'
_space_group_IT_number 216
_space_group_name_Hall 'F -4 2 3'
_cell_length_a 7.5342
_cell_length_b 7.5342
_cell_length_c 7.5342
_cell_angle_alpha 90.00
_cell_angle_beta 90.00
_cell_angle_gamma 90.00
loop_
_atom_site_label
_atom_site_type_symbol
_atom_site_fract_x
_atom_site_fract_y
_atom_site_fract_z
La1 La 0.0000 0.0000 0.0000
Dy1 Dy 0.0000 0.0000 0.5000
Zn1 Zn 0.2500 0.2500 0.2500
Sn1 Sn 0.2500 0.2500 0.7500



# La2DyZn2Sn2 PBE relaxed
# raw total energy: -83.16 eV per cell
# ρ: 7.4 g/cm³
data_La2DyZn2Sn2
_space_group_name_H-M_alt 'R -3 m'
_space_group_IT_number 166
_space_group_name_Hall '-R 3 2"'
_cell_length_a 4.6743
_cell_length_b 4.6743
_cell_length_c 28.8721
_cell_angle_alpha 90.00
_cell_angle_beta 90.00
_cell_angle_gamma 120.00
loop_
_atom_site_label
_atom_site_type_symbol
_atom_site_fract_x
_atom_site_fract_y
_atom_site_fract_z
La1 La 0.0000 0.0000 0.1320
Dy1 Dy 0.0000 0.0000 0.0000
Zn1 Zn 0.0000 0.0000 0.4123
Sn1 Sn 0.0000 0.0000 0.2716



# SrLa2Dy PBE relaxed
# raw total energy: -47.35 eV per cell
# ρ: 5.6 g/cm³
data_SrLa2Dy
_space_group_name_H-M_alt 'R 3 m'
_space_group_IT_number 160
_space_group_name_Hall 'R 3 -2"'
_cell_length_a 3.7753
_cell_length_b 3.7753
_cell_length_c 37.7300
_cell_angle_alpha 90.00
_cell_angle_beta 90.00
_cell_angle_gamma 120.00
loop_
_atom_site_label
_atom_site_type_symbol
_atom_site_fract_x
_atom_site_fract_y
_atom_site_fract_z
Sr1 Sr 0.0000 0.0000 0.0000
La1 La 0.0000 0.0000 0.5765
La2 La 0.0000 0.0000 0.7576
Dy1 Dy 0.0000 0.0000 0.1669